## Na2CuSi (PBE)

Data for a geometry-optimized Na2CuSi structure.

a = 11.089 Å, b = 11.089 Å, c = 8.136 Å
α = 47.04°, β = 47.04°, γ = 90.00°
Fractional coordinates of all 8 atoms:
1 Na 0.892 0.625 0.250
2 Na 0.875 0.108 0.750
3 Na 0.858 0.125 0.250
4 Na 0.375 0.142 0.750
5 Cu 0.750 0.250 0.500
6 Cu 0.000 0.000 0.000
7 Si 0.250 0.750 0.500
8 Si 0.500 0.500 0.000

Output
**E**: -0.208 Ry per atom


## LiPuFe (PBE)

Data for a geometry-optimized LiPuFe structure.

a = 5.441 Å, b = 4.971 Å, c = 5.442 Å
α = 74.12°, β = 60.01°, γ = 56.81°
Each line ends with the local moment (μB).
Fractional coordinates of all 6 atoms:
1 Li 0.170 0.660 0.000  0.04
2 Li 0.830 0.340 0.000  0.04
3 Pu 0.334 0.000 0.331  5.40
4 Pu 0.666 0.000 0.669  5.40
5 Fe 0.750 0.500 0.500  -1.67
6 Fe 0.250 0.500 0.500  -1.67

Output
**Formation energy**: 0.19 eV per atom


## NbTeRu (PBE)

Data for a geometry-optimized NbTeRu structure.

a = 3.624 Å, b = 4.945 Å, c = 13.173 Å
α = 125.18°, β = 123.49°, γ = 42.98°
Fractional coordinates of all 6 atoms:
1 Ru 0.432 0.185 0.434
2 Ru 0.568 0.815 0.566
3 Nb 0.689 0.432 0.685
4 Nb 0.311 0.568 0.315
5 Te 0.156 0.917 0.163
6 Te 0.844 0.083 0.837

Output
**Excess energy over the best structure of this formula in the dataset**: 0.32 eV/f.u.


## LaSb2Rh (PBE)

Data for a geometry-optimized LaSb2Rh structure.

a = 5.774 Å, b = 5.774 Å, c = 5.774 Å
α = 134.37°, β = 134.37°, γ = 66.51°
Fractional coordinates of all 4 atoms:
1 Sb 0.250 0.750 0.500
2 Sb 0.000 0.000 0.000
3 Rh 0.750 0.250 0.500
4 La 0.500 0.500 0.000

Output
**E**: -0.410 Ry per atom


What is the formula in the first record?
Na2CuSi